# GGA-PBE BaNaDySe3, optimized geometry
data_BaNaDySe3
_cell_length_a 4.403
_cell_length_b 14.299
_cell_length_c 10.864
_cell_angle_alpha 90.00
_cell_angle_beta 90.00
_cell_angle_gamma 90.00
_symmetry_space_group_name_H-M 'C m c m'
_symmetry_Int_Tables_number 63
_symmetry_space_group_name_Hall '-C 2c 2'
loop_
_atom_site_label
_atom_site_fract_x
_atom_site_fract_y
_atom_site_fract_z
Ba1 0.000 0.247 0.250
Na1 0.000 0.028 0.750
Dy1 0.000 0.500 0.000
Se1 0.000 0.134 0.545
Se2 0.000 0.421 0.750
# Size of the total moment ... 0.03 Bohr magnetons per cell
# Uncorrected energy ... -4.7243 eV/atom